# Lu2HfRu

A relaxed Lu2HfRu crystal (PBE-GGA, the Alexandria database).

a = 3.2188 Å, b = 3.2188 Å, c = 31.1463 Å
α = 90.00°, β = 90.00°, γ = 120.00°
Last column: nearest neighbours and their distance in Å.
Fractional coordinates of all 12 atoms:
Lu  0.0000  0.0000  0.1013  3 Ru 2.76
Lu  0.0000  0.0000  0.8987  3 Ru 2.76
Lu  0.3333  0.6667  0.5654  3 Ru 2.76
Lu  0.3333  0.6667  0.7679  3 Ru 2.76
Lu  0.6667  0.3333  0.2321  3 Ru 2.76
Lu  0.6667  0.3333  0.4346  3 Ru 2.76
Hf  0.0000  0.0000  0.0000  2 Lu 3.15, 6 Hf 3.22
Hf  0.3333  0.6667  0.6667  2 Lu 3.15, 6 Hf 3.22
Hf  0.6667  0.3333  0.3333  2 Lu 3.15, 6 Hf 3.22
Ru  0.0000  0.0000  0.5000  6 Lu 2.76
Ru  0.3333  0.6667  0.1667  6 Lu 2.76
Ru  0.6667  0.3333  0.8333  6 Lu 2.76

Summary:
Density   11.2 Mg/m³
SG   R-3m (166)
Energy relative to the elements   186.4 meV per atom

***

# LuHfZnRu

A relaxed LuHfZnRu crystal (PBE-GGA, the Alexandria database).

a = 6.6771 Å, b = 6.6771 Å, c = 6.6771 Å
α = 90.00°, β = 90.00°, γ = 90.00°
Last column: nearest neighbours and their distance in Å.
Fractional coordinates of all 16 atoms:
Lu  0.0000  0.0000  0.0000  4 Ru 2.89, 4 Zn 2.89
Lu  0.0000  0.5000  0.5000  4 Ru 2.89, 4 Zn 2.89
Lu  0.5000  0.0000  0.5000  4 Ru 2.89, 4 Zn 2.89
Lu  0.5000  0.5000  0.0000  4 Ru 2.89, 4 Zn 2.89
Hf  0.0000  0.0000  0.5000  4 Ru 2.89, 4 Zn 2.89
Hf  0.0000  0.5000  0.0000  4 Ru 2.89, 4 Zn 2.89
Hf  0.5000  0.0000  0.0000  4 Ru 2.89, 4 Zn 2.89
Hf  0.5000  0.5000  0.5000  4 Ru 2.89, 4 Zn 2.89
Zn  0.2500  0.2500  0.7500  4 Hf 2.89, 4 Lu 2.89
Zn  0.2500  0.7500  0.2500  4 Hf 2.89, 4 Lu 2.89
Zn  0.7500  0.2500  0.2500  4 Hf 2.89, 4 Lu 2.89
Zn  0.7500  0.7500  0.7500  4 Hf 2.89, 4 Lu 2.89
Ru  0.2500  0.2500  0.2500  4 Hf 2.89, 4 Lu 2.89
Ru  0.2500  0.7500  0.7500  4 Hf 2.89, 4 Lu 2.89
Ru  0.7500  0.2500  0.7500  4 Hf 2.89, 4 Lu 2.89
Ru  0.7500  0.7500  0.2500  4 Hf 2.89, 4 Lu 2.89

Summary:
Density   11.6 Mg/m³
SG   F-43m (216)
Energy relative to the elements   -408.9 meV per atom

***

# LuHfS

A relaxed LuHfS crystal (PBE-GGA, the Alexandria database).

a = 4.4688 Å, b = 4.4688 Å, c = 3.7335 Å
α = 90.00°, β = 90.00°, γ = 120.00°
Last column: nearest neighbours and their distance in Å.
Fractional coordinates of all 3 atoms:
Lu  0.0000  0.0000  0.0000  6 S 3.18, 6 Hf 3.18
Hf  0.6667  0.3333  0.5000  3 S 2.58
S  0.3333  0.6667  0.5000  3 Hf 2.58

Summary:
Formation energy without anion corrections   -0.492 eV/atom
Density   9.9 Mg/m³
SG   P-6m2 (187)

***

| no. | E_tot (eV/atom) |
| --- | --- |
| 1 | -6.8814 |
| 2 | -6.6650 |
| 3 | -6.6931 |